# Ac3PdRhPb | the Alexandria database | PBE | relaxed
data_Ac3PdRhPb
_symmetry_space_group_name_H-M 'P 1 21/m 1'
_symmetry_Int_Tables_number 11
_symmetry_space_group_name_Hall '-P 2yb'
_cell_length_a 9.2766
_cell_length_b 4.3257
_cell_length_c 10.3074
_cell_angle_alpha 90.00
_cell_angle_beta 112.41
_cell_angle_gamma 90.00
loop_
_atom_site_label
_atom_site_type_symbol
_atom_site_fract_x
_atom_site_fract_y
_atom_site_fract_z
Ac1 Ac 0.1545 0.2500 0.1411
Ac2 Ac 0.2650 0.7500 0.4834
Ac3 Ac 0.2828 0.7500 0.8666
Pd1 Pd 0.0071 0.2500 0.4060
Rh1 Rh 0.0464 0.2500 0.8152
Pb1 Pb 0.4827 0.7500 0.2536
# - Formation energy: -0.58 eV per atom
# - Calculated volume: 31.9 A^3/atom



# AcSb2Pd5Pb | the Alexandria database | PBE | relaxed
data_AcSb2Pd5Pb
_symmetry_space_group_name_H-M 'P 4/m m m'
_symmetry_Int_Tables_number 123
_symmetry_space_group_name_Hall '-P 4 2'
_cell_length_a 4.7324
_cell_length_b 4.7324
_cell_length_c 8.6270
_cell_angle_alpha 90.00
_cell_angle_beta 90.00
_cell_angle_gamma 90.00
loop_
_atom_site_label
_atom_site_type_symbol
_atom_site_fract_x
_atom_site_fract_y
_atom_site_fract_z
Ac1 Ac 0.0000 0.0000 0.0000
Sb1 Sb 0.5000 0.5000 0.1708
Pd1 Pd 0.0000 0.5000 0.3069
Pd2 Pd 0.5000 0.5000 0.5000
Pb1 Pb 0.0000 0.0000 0.5000
# - Calculated volume: 21.5 A^3/atom
# - ΔE_f (raw): -0.593 eV/atom



# AcSbPdPb | the Alexandria database | PBE | relaxed
data_AcSbPdPb
_symmetry_space_group_name_H-M 'P 4/n m m'
_symmetry_Int_Tables_number 129
_cell_length_a 4.6626
_cell_length_b 4.6626
_cell_length_c 10.8113
_cell_angle_alpha 90.00
_cell_angle_beta 90.00
_cell_angle_gamma 90.00
loop_
_symmetry_equiv_pos_as_xyz
'x,y,z'
'-x,-y,-z'
'-y+1/2,x,z'
'y+1/2,-x,-z'
'-x+1/2,-y+1/2,z'
'x+1/2,y+1/2,-z'
'y,-x+1/2,z'
'-y,x+1/2,-z'
'x+1/2,-y,-z'
'-x+1/2,y,z'
'-y,-x,-z'
'y,x,z'
'-x,y+1/2,-z'
'x,-y+1/2,z'
'y+1/2,x+1/2,-z'
'-y+1/2,-x+1/2,z'
loop_
_atom_site_label
_atom_site_type_symbol
_atom_site_fract_x
_atom_site_fract_y
_atom_site_fract_z
Ac1 Ac 0.2500 0.2500 0.2047
Sb1 Sb 0.2500 0.2500 0.8953
Pd1 Pd 0.2500 0.2500 0.6541
Pb1 Pb 0.2500 0.7500 0.5000
# - ΔE to the lowest computed polymorph: 0.0 meV per atom
# - Calculated volume: 29.4 A^3/atom
# - ΔE_f (raw): -0.637 eV/atom



# Ac3SbPd9Pb2 | the Alexandria database | PBE | relaxed
data_Ac3SbPd9Pb2
_symmetry_space_group_name_H-M 'P -3 m 1'
_symmetry_Int_Tables_number 164
_symmetry_space_group_name_Hall '-P 3 2"'
_cell_length_a 7.0603
_cell_length_b 7.0603
_cell_length_c 9.2350
_cell_angle_alpha 90.00
_cell_angle_beta 90.00
_cell_angle_gamma 120.00
loop_
_atom_site_label
_atom_site_type_symbol
_atom_site_fract_x
_atom_site_fract_y
_atom_site_fract_z
Ac1 Ac 0.0000 0.0000 0.0000
Ac2 Ac 0.3333 0.6667 0.7385
Sb1 Sb 0.0000 0.0000 0.5000
Pd1 Pd 0.0000 0.5000 0.0000
Pd2 Pd 0.1312 0.2624 0.2785
Pb1 Pb 0.3333 0.6667 0.1980
# - Calculated volume: 26.6 A^3/atom
# - ΔE_f (raw): -0.420 eV/atom



# AcSbPdPb | the Alexandria database | PBE | relaxed
data_AcSbPdPb
_symmetry_space_group_name_H-M 'F -4 3 m'
_symmetry_Int_Tables_number 216
_symmetry_space_group_name_Hall 'F -4 2 3'
_cell_length_a 7.6950
_cell_length_b 7.6950
_cell_length_c 7.6950
_cell_angle_alpha 90.00
_cell_angle_beta 90.00
_cell_angle_gamma 90.00
loop_
_atom_site_label
_atom_site_type_symbol
_atom_site_fract_x
_atom_site_fract_y
_atom_site_fract_z
Ac1 Ac 0.0000 0.0000 0.0000
Sb1 Sb 0.2500 0.2500 0.2500
Pd1 Pd 0.2500 0.2500 0.7500
Pb1 Pb 0.0000 0.0000 0.5000
# - ΔE to the lowest computed polymorph: 181.2 meV per atom
# - Calculated volume: 28.5 A^3/atom
# - ΔE_f (raw): -0.456 eV/atom



# AcSb2Pd7Pb2 | the Alexandria database | PBE | relaxed
data_AcSb2Pd7Pb2
_symmetry_space_group_name_H-M 'C 1 2/m 1'
_symmetry_Int_Tables_number 12
_symmetry_space_group_name_Hall '-C 2y'
_cell_length_a 5.9295
_cell_length_b 5.9026
_cell_length_c 15.4505
_cell_angle_alpha 90.00
_cell_angle_beta 95.80
_cell_angle_gamma 90.00
loop_
_atom_site_label
_atom_site_type_symbol
_atom_site_fract_x
_atom_site_fract_y
_atom_site_fract_z
Ac1 Ac 0.0000 0.0000 0.0000
Sb1 Sb 0.0706 0.5000 0.2534
Pd1 Pd 0.0000 0.5000 0.0000
Pd2 Pd 0.1128 0.5000 0.4248
Pd3 Pd 0.2080 0.2506 0.8526
Pb1 Pb 0.1235 0.0000 0.4044
# - Calculated volume: 22.4 A^3/atom
# - ΔE_f (raw): -0.392 eV/atom



# AcSbPd2Pb2 | the Alexandria database | PBE | relaxed
data_AcSbPd2Pb2
_symmetry_space_group_name_H-M 'I 4/m m m'
_symmetry_Int_Tables_number 139
_symmetry_space_group_name_Hall '-I 4 2'
_cell_length_a 5.4320
_cell_length_b 5.4320
_cell_length_c 11.8799
_cell_angle_alpha 90.00
_cell_angle_beta 90.00
_cell_angle_gamma 90.00
loop_
_atom_site_label
_atom_site_type_symbol
_atom_site_fract_x
_atom_site_fract_y
_atom_site_fract_z
Ac1 Ac 0.0000 0.0000 0.0000
Sb1 Sb 0.0000 0.0000 0.5000
Pd1 Pd 0.0000 0.0000 0.2700
Pb1 Pb 0.0000 0.5000 0.2500
# - Calculated volume: 29.2 A^3/atom
# - ΔE_f (raw): -0.308 eV/atom



# Ac2Sb4Pd3Pb | the Alexandria database | PBE | relaxed
data_Ac2Sb4Pd3Pb
_symmetry_space_group_name_H-M 'P -4 m 2'
_symmetry_Int_Tables_number 115
_symmetry_space_group_name_Hall 'P -4 -2'
_cell_length_a 4.7293
_cell_length_b 4.7293
_cell_length_c 11.9064
_cell_angle_alpha 90.00
_cell_angle_beta 90.00
_cell_angle_gamma 90.00
loop_
_atom_site_label
_atom_site_type_symbol
_atom_site_fract_x
_atom_site_fract_y
_atom_site_fract_z
Ac1 Ac 0.0000 0.5000 0.2331
Sb1 Sb 0.0000 0.0000 0.0000
Sb2 Sb 0.0000 0.5000 0.6625
Sb3 Sb 0.5000 0.5000 0.0000
Pd1 Pd 0.0000 0.5000 0.8861
Pd2 Pd 0.5000 0.5000 0.5000
Pb1 Pb 0.0000 0.0000 0.5000
# - Calculated volume: 26.6 A^3/atom
# - ΔE_f (raw): -0.666 eV/atom